(1)
# CuSe2NO (GGA-PBE, optimized geometry)
data_CuSe2NO
_cell_length_a 4.889
_cell_length_b 4.889
_cell_length_c 3.506
_cell_angle_alpha 90.00
_cell_angle_beta 90.00
_cell_angle_gamma 90.00
_symmetry_space_group_name_H-M 'P 4/m m m'
_symmetry_Int_Tables_number 123
_symmetry_space_group_name_Hall '-P 4 2'
loop_
_atom_site_label
_atom_site_fract_x
_atom_site_fract_y
_atom_site_fract_z
Cu1 0.000 0.000 0.000
Se1 0.000 0.500 0.000
N1 0.000 0.000 0.500
O1 0.500 0.500 0.500
# Raw formation energy = 1.3927 eV/atom
# Total moment = 2.4 μB/f.u.
# Energy relative to the lowest polymorph listed for this composition = 22 meV/atom

=====

(2)
# CuSeN2O (GGA-PBE, optimized geometry)
data_CuSeN2O
_cell_length_a 3.819
_cell_length_b 3.819
_cell_length_c 4.015
_cell_angle_alpha 90.00
_cell_angle_beta 90.00
_cell_angle_gamma 90.00
_symmetry_space_group_name_H-M 'P 4/m m m'
_symmetry_Int_Tables_number 123
_symmetry_space_group_name_Hall '-P 4 2'
loop_
_atom_site_label
_atom_site_fract_x
_atom_site_fract_y
_atom_site_fract_z
Cu1 0.000 0.000 0.000
Se1 0.500 0.500 0.000
N1 0.000 0.500 0.500
O1 0.500 0.500 0.500
# Raw formation energy = 2.0992 eV/atom
# Total moment = 2.1 μB/f.u.

=====

(3)
# CuSe2NO (GGA-PBE, optimized geometry)
data_CuSe2NO
_cell_length_a 4.432
_cell_length_b 4.432
_cell_length_c 3.813
_cell_angle_alpha 90.00
_cell_angle_beta 90.00
_cell_angle_gamma 90.00
_symmetry_space_group_name_H-M 'P 4/m m m'
_symmetry_Int_Tables_number 123
_symmetry_space_group_name_Hall '-P 4 2'
loop_
_atom_site_label
_atom_site_fract_x
_atom_site_fract_y
_atom_site_fract_z
Cu1 0.000 0.000 0.000
Se1 0.000 0.500 0.500
N1 0.500 0.500 0.000
O1 0.500 0.500 0.500
# Raw formation energy = 1.3706 eV/atom
# Total moment = 2.2 μB/f.u.
# Energy relative to the lowest polymorph listed for this composition = 0 meV/atom

=====

(4)
# CuSeN2O (GGA-PBE, optimized geometry)
data_CuSeN2O
_cell_length_a 3.474
_cell_length_b 3.474
_cell_length_c 6.448
_cell_angle_alpha 90.00
_cell_angle_beta 90.00
_cell_angle_gamma 90.00
_symmetry_space_group_name_H-M 'P 4/m m m'
_symmetry_Int_Tables_number 123
_symmetry_space_group_name_Hall '-P 4 2'
loop_
_atom_site_label
_atom_site_fract_x
_atom_site_fract_y
_atom_site_fract_z
Cu1 0.000 0.000 0.000
Se1 0.000 0.000 0.500
N1 0.000 0.500 0.000
O1 0.500 0.500 0.500
# Raw formation energy = 1.7372 eV/atom
# Total moment = 2.1 μB/f.u.

=====

(5)
# Cu2Se2NO10 (GGA-PBE, optimized geometry)
data_Cu2Se2NO10
_cell_length_a 9.739
_cell_length_b 6.172
_cell_length_c 8.318
_cell_angle_alpha 90.00
_cell_angle_beta 121.57
_cell_angle_gamma 90.00
_symmetry_space_group_name_H-M 'C 1 2/m 1'
_symmetry_Int_Tables_number 12
loop_
_symmetry_equiv_pos_as_xyz
'x,y,z'
'-x,-y,-z'
'-x,y,-z'
'x,-y,z'
'x+1/2,y+1/2,z'
'-x+1/2,-y+1/2,-z'
'-x+1/2,y+1/2,-z'
'x+1/2,-y+1/2,z'
loop_
_atom_site_label
_atom_site_fract_x
_atom_site_fract_y
_atom_site_fract_z
Cu1 0.250 0.250 0.000
Se1 0.075 0.000 0.287
N1 0.000 0.500 0.500
O1 0.045 0.230 0.776
O2 0.171 0.000 0.169
O3 0.185 0.500 0.052
O4 0.190 0.000 0.516
# Raw formation energy = 0.1079 eV/atom
# Total moment = 3.8 μB/f.u.

=====

(6)
# CuSeN2O (GGA-PBE, optimized geometry)
data_CuSeN2O
_cell_length_a 3.769
_cell_length_b 3.769
_cell_length_c 3.699
_cell_angle_alpha 90.00
_cell_angle_beta 90.00
_cell_angle_gamma 90.00
_symmetry_space_group_name_H-M 'P 4/m m m'
_symmetry_Int_Tables_number 123
_symmetry_space_group_name_Hall '-P 4 2'
loop_
_atom_site_label
_atom_site_fract_x
_atom_site_fract_y
_atom_site_fract_z
Cu1 0.000 0.000 0.000
Se1 0.500 0.500 0.500
N1 0.000 0.500 0.000
O1 0.000 0.000 0.500
# Raw formation energy = 1.5874 eV/atom
# Total moment = 0.0 μB/f.u.

=====

What did the second record say?
# CuSeN2O (GGA-PBE, optimized geometry)
data_CuSeN2O
_cell_length_a 3.819
_cell_length_b 3.819
_cell_length_c 4.015
_cell_angle_alpha 90.00
_cell_angle_beta 90.00
_cell_angle_gamma 90.00
_symmetry_space_group_name_H-M 'P 4/m m m'
_symmetry_Int_Tables_number 123
_symmetry_space_group_name_Hall '-P 4 2'
loop_
_atom_site_label
_atom_site_fract_x
_atom_site_fract_y
_atom_site_fract_z
Cu1 0.000 0.000 0.000
Se1 0.500 0.500 0.000
N1 0.000 0.500 0.500
O1 0.500 0.500 0.500
# Raw formation energy = 2.0992 eV/atom
# Total moment = 2.1 μB/f.u.

=====

Look up the total moment of the first one.
2.4 μB/f.u.